Record 1
Material: YSiW2
Method: DFT, PBE
State: relaxed

Lattice parameters (Å, degrees): 4.485 4.485 5.912 101.04 101.04 43.39
Positions (direct):
Y1 0.000 0.000 0.000
Si1 0.251 0.251 0.690
W1 0.515 0.515 0.519
W2 0.777 0.777 0.353

## Properties
Mass density: 10.1 Mg/m³
Space-group type: Cm (8)
DFT total energy: -37.05 eV per cell

=====

Record 2
Material: YSi2W2
Method: DFT, PBE
State: relaxed

Lattice parameters (Å, degrees): 5.575 5.575 5.575 131.48 131.48 71.06
Positions (direct):
Y1 0.000 0.000 0.000
Si1 0.250 0.750 0.500
Si2 0.750 0.250 0.500
W1 0.368 0.368 0.000
W2 0.632 0.632 0.000

## Properties
Distance to the lowest polymorph of the same formula: 135.2 meV per atom
Mass density: 8.9 Mg/m³
Space-group type: I4/mmm (139)
DFT total energy: -43.13 eV per cell

=====

Record 3
Material: Y2Si2W
Method: DFT, PBE
State: relaxed

Lattice parameters (Å, degrees): 8.222 8.222 3.106 90.00 90.00 90.00
Positions (direct):
Y1 0.135 0.365 0.000
Y2 0.365 0.865 0.000
Y3 0.635 0.135 0.000
Y4 0.865 0.635 0.000
Si1 0.171 0.671 0.500
Si2 0.329 0.171 0.500
Si3 0.671 0.829 0.500
Si4 0.829 0.329 0.500
W1 0.000 0.000 0.000
W2 0.500 0.500 0.000

## Properties
Distance to the lowest polymorph of the same formula: 965.7 meV per atom
Mass density: 6.6 Mg/m³
Space-group type: P4/mbm (127)
DFT total energy: -68.61 eV per cell

=====

Record 4
Material: YSiW2
Method: DFT, PBE
State: relaxed

Lattice parameters (Å, degrees): 4.955 4.955 5.056 102.05 102.05 38.35
Positions (direct):
Y1 0.000 0.000 0.000
Si1 0.500 0.500 0.500
W1 0.232 0.232 0.680
W2 0.768 0.768 0.320

## Properties
Mass density: 10.7 Mg/m³
Space-group type: C2/m (12)
DFT total energy: -36.86 eV per cell

=====

Record 5
Material: YSiW2
Method: DFT, PBE
State: relaxed

Lattice parameters (Å, degrees): 4.636 4.636 4.636 120.21 120.21 89.64
Positions (direct):
Y1 0.000 0.000 0.000
Si1 0.250 0.750 0.500
W1 0.500 0.500 0.000
W2 0.750 0.250 0.500

## Properties
Mass density: 11.5 Mg/m³
Space-group type: I-4m2 (119)
DFT total energy: -36.68 eV per cell

=====

Record 6
Material: YSi3W
Method: DFT, PBE
State: relaxed

Lattice parameters (Å, degrees): 4.733 4.733 4.733 90.00 90.00 90.00
Positions (direct):
Y1 0.000 0.000 0.000
Si1 0.000 0.500 0.500
Si2 0.500 0.000 0.500
Si3 0.500 0.500 0.000
W1 0.500 0.500 0.500

## Properties
Distance to the lowest polymorph of the same formula: 0.0 meV per atom
Mass density: 5.6 Mg/m³
Space-group type: Pm-3m (221)
DFT total energy: -34.65 eV per cell

=====

Record 7
Material: Y2Si2W
Method: DFT, PBE
State: relaxed

Lattice parameters (Å, degrees): 9.339 9.339 9.339 158.73 158.73 30.25
Positions (direct):
Y1 0.107 0.107 0.000
Y2 0.893 0.893 0.000
Si1 0.250 0.750 0.500
Si2 0.750 0.250 0.500
W1 0.500 0.500 0.000

## Properties
Distance to the lowest polymorph of the same formula: 729.7 meV per atom
Mass density: 6.5 Mg/m³
Space-group type: I4/mmm (139)
DFT total energy: -35.49 eV per cell

=====

Record 8
Material: YSi3W
Method: DFT, PBE
State: relaxed

Lattice parameters (Å, degrees): 4.930 4.930 4.930 90.00 90.00 90.00
Positions (direct):
Y1 0.000 0.000 0.000
Si1 0.000 0.000 0.500
Si2 0.000 0.500 0.000
Si3 0.500 0.000 0.000
W1 0.500 0.500 0.500

## Properties
Distance to the lowest polymorph of the same formula: 1979.8 meV per atom
Mass density: 4.9 Mg/m³
Space-group type: Pm-3m (221)
DFT total energy: -24.75 eV per cell